(1)
A plane-wave DFT calculation with PBE-GGA was carried out for a relaxed structure of SrCaTa2.

Computed properties:
Volume   30.46 Å³ per atom
Energy of formation from the pure elements   0.695 eV/atom
VASP energy   -0.452 Ry/atom
Magnetic moment   0.0 μB/f.u.
Relative energy among the computed polymorphs   261 meV/atom

Unit cell a=4.8817 b=4.8817 c=8.1543 alpha=87.33 beta=87.33 gamma=38.88
Fractional coordinates of all 4 atoms:
Sr 0.2585 0.2585 0.1912
Ca 0.4890 0.4890 0.5711
Ta 0.0104 0.0104 0.9094
Ta 0.7421 0.7421 0.8283



(2)
A plane-wave DFT calculation with PBE-GGA was carried out for a relaxed structure of PdPtCl2.

Computed properties:
Volume   21.03 Å³ per atom
Energy relative to the elements, uncorrected   125 kJ/mol of formula units
VASP energy   -0.250 Ry/atom
Magnetic moment   1.3 μB/f.u.
Relative energy among the computed polymorphs   151 meV/atom

Unit cell a=8.0350 b=8.0350 c=8.0350 alpha=25.42 beta=25.42 gamma=25.42
Last column: magnetic moment on the atom in μB.
Fractional coordinates of all 4 atoms:
Pd 0.0000 0.0000 0.0000  0.12
Pt 0.5000 0.5000 0.5000  0.77
Cl 0.9006 0.9006 0.9006  0.16
Cl 0.0994 0.0994 0.0994  0.16



(3)
A plane-wave DFT calculation with PBE-GGA was carried out for a relaxed structure of BeAg2OsC.

Computed properties:
Volume   21.21 Å³ per atom
Energy of formation from the pure elements   2.617 eV/atom
VASP energy   -0.247 Ry/atom
Magnetic moment   0.3 μB/f.u.

Unit cell a=5.0816 b=4.1077 c=5.0816 alpha=90.00 beta=90.00 gamma=90.00
Last column: magnetic moment on the atom in μB.
Fractional coordinates of all 5 atoms:
Be 0.0000 0.5000 0.0000  -0.02
C 0.5000 0.5000 0.5000  0.57
Os 0.0000 0.0000 0.0000  -0.52
Ag 0.0000 0.0000 0.5000  -0.10
Ag 0.5000 0.0000 0.0000  -0.03